Sr3NiAg2O6: optimized geometry, PBE+U.

```
Sr3NiAg2O6
1.0
-1.582 -3.505 4.315
4.045 -1.694 -3.764
4.511 2.530 3.709
O Sr Ag Ni
6 3 2 1
direct
0.840 0.680 0.686 O
0.160 0.840 0.314 O
0.160 0.320 0.314 O
0.840 0.160 0.686 O
0.320 0.160 0.686 O
0.680 0.840 0.314 O
0.667 0.333 0.395 Sr
0.333 0.667 0.605 Sr
0.000 0.000 0.000 Sr
0.667 0.333 0.896 Ag
0.333 0.667 0.104 Ag
0.000 0.000 0.500 Ni
```

Properties
* uncorrected energy: -4.93 eV/atom
* space group: No. 164
* calculated density: 5.71 Mg/m³
* DOS(E_F): 2.76 states/eV/f.u.
* volume: 15.343 A^3/atom
* total moment: 0.04 μB per cell